Run P
Li2Zn3Cu3 | PBE | optimized geometry

Summary:
- density of states at the Fermi level (states/eV per cell) = 2.83

a = 6.859 Å, b = 6.859 Å, c = 6.859 Å
α = 145.34°, β = 144.84°, γ = 50.20°
Fractional coordinates of all 8 atoms:
Li: 0.249 0.249 0.000
Li: 0.751 0.751 0.000
Zn: 0.129 0.629 0.500
Zn: 0.500 0.500 0.000
Zn: 0.871 0.371 0.500
Cu: 0.000 0.000 0.000
Cu: 0.378 0.878 0.500
Cu: 0.622 0.122 0.500

Run Q
Li2Zn3Cu3 | PBE | optimized geometry

Summary:
- density of states at the Fermi level (states/eV per cell) = 3.48

a = 4.755 Å, b = 4.755 Å, c = 12.411 Å
α = 90.00°, β = 90.00°, γ = 127.47°
Fractional coordinates of all 16 atoms:
Li: 0.230 0.770 0.623
Li: 0.230 0.770 0.877
Li: 0.770 0.230 0.123
Li: 0.770 0.230 0.377
Zn: 0.090 0.910 0.079
Zn: 0.090 0.910 0.421
Zn: 0.238 0.762 0.250
Zn: 0.762 0.238 0.750
Zn: 0.910 0.090 0.579
Zn: 0.910 0.090 0.921
Cu: 0.400 0.600 0.068
Cu: 0.400 0.600 0.432
Cu: 0.469 0.531 0.750
Cu: 0.531 0.469 0.250
Cu: 0.600 0.400 0.568
Cu: 0.600 0.400 0.932

The most stable structure shown above is run P; the least stable is run Q.